i.
Entry from Alexandria via LeMat-Bulk: a PBEsol-optimized structure of Tl2CdPt (meta-GGA SCAN).

Computed properties:
volume: 88.3 Å³/f.u.
DOS(E_F): 1.3 states/eV per cell

Lattice parameters (Å, degrees): 3.263 3.263 8.296 90.00 90.00 90.00
Space group P4/mmm (No. 123)
Asymmetric unit:
Tl 0.000 0.000 0.215
Cd 0.500 0.500 0.500
Pt 0.500 0.500 0.000

=====

ii.
Entry from Alexandria via LeMat-Bulk: a PBEsol-optimized structure of Tl2CdPt (meta-GGA SCAN).

Computed properties:
volume: 91.5 Å³/f.u.
DOS(E_F): 4.4 states/eV per cell

Lattice parameters (Å, degrees): 3.5545 3.5545 25.0993 90.00 90.00 120.00
Space group R-3m (No. 166, hexagonal axes)
Asymmetric unit:
Tl 0.0000 0.0000 0.2406
Cd 0.0000 0.0000 0.0000
Pt 0.0000 0.0000 0.5000

=====

Relative stability in kJ/mol of atoms, measured from the most stable structure: i 1.1; ii 0.0